No. 1
Material: Rb3Te4P
Method: DFT, GGA-PBE
State: relaxed

Results
Raw formation energy ... -0.631 eV per atom

a = 10.283 Å, b = 12.133 Å, c = 11.111 Å
α = 90.00°, β = 90.00°, γ = 90.00°
Atoms (fractional coordinates):
Rb1 0.063 0.044 0.189
Rb2 0.063 0.456 0.189
Rb3 0.159 0.750 0.416
Rb4 0.341 0.250 0.916
Rb5 0.437 0.544 0.689
Rb6 0.437 0.956 0.689
Rb7 0.563 0.044 0.311
Rb8 0.563 0.456 0.311
Rb9 0.659 0.750 0.084
Rb10 0.841 0.250 0.584
Rb11 0.937 0.544 0.811
Rb12 0.937 0.956 0.811
Te1 0.035 0.750 0.092
Te2 0.133 0.076 0.523
Te3 0.133 0.424 0.523
Te4 0.185 0.750 0.756
Te5 0.315 0.250 0.256
Te6 0.367 0.576 0.023
Te7 0.367 0.924 0.023
Te8 0.465 0.250 0.592
Te9 0.535 0.750 0.408
Te10 0.633 0.076 0.977
Te11 0.633 0.424 0.977
Te12 0.685 0.750 0.744
Te13 0.815 0.250 0.244
Te14 0.867 0.576 0.477
Te15 0.867 0.924 0.477
Te16 0.965 0.250 0.908
P1 0.242 0.750 0.972
P2 0.258 0.250 0.472
P3 0.742 0.750 0.528
P4 0.758 0.250 0.028

***

No. 2
Material: CuRh2Br
Method: DFT, GGA-PBE
State: relaxed

Results
Polymorph energy (0 for the lowest one) ... 0.58 eV/f.u.
Raw formation energy ... 0.472 eV per atom

a = 8.393 Å, b = 3.013 Å, c = 4.956 Å
α = 90.00°, β = 101.34°, γ = 90.00°
Atoms (fractional coordinates):
Cu1 0.000 0.000 0.000
Cu2 0.500 0.500 0.000
Rh1 0.246 0.500 0.236
Rh2 0.254 0.000 0.764
Rh3 0.746 0.000 0.236
Rh4 0.754 0.500 0.764
Br1 0.000 0.500 0.500
Br2 0.500 0.000 0.500

***

No. 3
Material: SrEr2SiN4
Method: DFT, GGA-PBE
State: relaxed

Results
Raw formation energy ... -1.391 eV per atom

a = 6.136 Å, b = 6.136 Å, c = 11.543 Å
α = 90.00°, β = 90.00°, γ = 148.48°
Atoms (fractional coordinates):
Sr1 0.092 0.908 0.750
Sr2 0.908 0.092 0.250
Er1 0.369 0.631 0.540
Er2 0.369 0.631 0.960
Er3 0.631 0.369 0.040
Er4 0.631 0.369 0.460
Si1 0.182 0.818 0.250
Si2 0.818 0.182 0.750
N1 0.000 0.000 0.000
N2 0.000 0.000 0.500
N3 0.260 0.740 0.124
N4 0.260 0.740 0.376
N5 0.401 0.599 0.750
N6 0.599 0.401 0.250
N7 0.740 0.260 0.624
N8 0.740 0.260 0.876

***

No. 4
Material: MgZrB3
Method: DFT, GGA-PBE
State: relaxed

Results
Polymorph energy (0 for the lowest one) ... 0.34 eV/f.u.

a = 4.070 Å, b = 4.070 Å, c = 4.070 Å
α = 90.00°, β = 90.00°, γ = 90.00°
Atoms (fractional coordinates):
Mg1 0.000 0.000 0.000
Zr1 0.500 0.500 0.500
B1 0.000 0.000 0.500
B2 0.000 0.500 0.000
B3 0.500 0.000 0.000

***

No. 5
Material: Pm12DyGe7
Method: DFT, GGA-PBE
State: relaxed

a = 9.294 Å, b = 9.294 Å, c = 9.294 Å
α = 108.02°, β = 108.02°, γ = 108.02°
Atoms (fractional coordinates):
Pm1 0.031 0.111 0.344
Pm2 0.111 0.344 0.031
Pm3 0.195 0.569 0.726
Pm4 0.274 0.805 0.431
Pm5 0.344 0.031 0.111
Pm6 0.431 0.274 0.805
Pm7 0.569 0.726 0.195
Pm8 0.656 0.969 0.889
Pm9 0.726 0.195 0.569
Pm10 0.805 0.431 0.274
Pm11 0.889 0.656 0.969
Pm12 0.969 0.889 0.656
Dy1 0.500 0.500 0.500
Ge1 0.000 0.000 0.000
Ge2 0.146 0.456 0.378
Ge3 0.378 0.146 0.456
Ge4 0.456 0.378 0.146
Ge5 0.544 0.622 0.854
Ge6 0.622 0.854 0.544
Ge7 0.854 0.544 0.622

***

No. 6
Material: MgSc2Re
Method: DFT, GGA-PBE
State: relaxed

a = 3.165 Å, b = 3.165 Å, c = 30.889 Å
α = 90.00°, β = 90.00°, γ = 120.00°
Atoms (fractional coordinates):
Mg1 0.000 0.000 0.000
Mg2 0.333 0.667 0.667
Mg3 0.667 0.333 0.333
Sc1 0.000 0.000 0.102
Sc2 0.000 0.000 0.898
Sc3 0.333 0.667 0.564
Sc4 0.333 0.667 0.769
Sc5 0.667 0.333 0.231
Sc6 0.667 0.333 0.436
Re1 0.000 0.000 0.500
Re2 0.333 0.667 0.167
Re3 0.667 0.333 0.833

***

No. 7
Material: Li2CaSiF8
Method: DFT, GGA-PBE
State: relaxed

Results
Raw formation energy ... -3.257 eV per atom

a = 4.697 Å, b = 4.697 Å, c = 6.550 Å
α = 94.39°, β = 94.39°, γ = 85.13°
Atoms (fractional coordinates):
Li1 0.037 0.037 0.228
Li2 0.963 0.963 0.772
Ca1 0.500 0.500 0.000
Si1 0.500 0.500 0.500
F1 0.183 0.183 0.990
F2 0.256 0.256 0.469
F3 0.308 0.688 0.691
F4 0.312 0.692 0.309
F5 0.688 0.308 0.691
F6 0.692 0.312 0.309
F7 0.744 0.744 0.531
F8 0.817 0.817 0.010

***

No. 8
Material: LaPmSnBi
Method: DFT, GGA-PBE
State: relaxed

a = 7.937 Å, b = 7.937 Å, c = 7.937 Å
α = 90.00°, β = 90.00°, γ = 90.00°
Atoms (fractional coordinates):
La1 0.000 0.000 0.000
La2 0.000 0.500 0.500
La3 0.500 0.000 0.500
La4 0.500 0.500 0.000
Pm1 0.000 0.000 0.500
Pm2 0.000 0.500 0.000
Pm3 0.500 0.000 0.000
Pm4 0.500 0.500 0.500
Sn1 0.250 0.250 0.750
Sn2 0.250 0.750 0.250
Sn3 0.750 0.250 0.250
Sn4 0.750 0.750 0.750
Bi1 0.250 0.250 0.250
Bi2 0.250 0.750 0.750
Bi3 0.750 0.250 0.750
Bi4 0.750 0.750 0.250

***

No. 9
Material: Te2Au
Method: DFT, GGA-PBE
State: relaxed

Results
Raw formation energy ... 0.251 eV per atom

a = 8.366 Å, b = 8.366 Å, c = 3.936 Å
α = 90.00°, β = 90.00°, γ = 120.00°
Atoms (fractional coordinates):
Te1 0.000 0.248 0.000
Te2 0.000 0.533 0.500
Te3 0.248 0.000 0.000
Te4 0.467 0.467 0.500
Te5 0.533 0.000 0.500
Te6 0.752 0.752 0.000
Au1 0.000 0.000 0.500
Au2 0.333 0.667 0.000
Au3 0.667 0.333 0.000

***

No. 10
Material: Tb5PrDy
Method: DFT, GGA-PBE
State: relaxed

Results
Polymorph energy (0 for the lowest one) ... 0.00 eV/f.u.

a = 6.803 Å, b = 6.803 Å, c = 12.262 Å
α = 107.76°, β = 107.76°, γ = 59.98°
Atoms (fractional coordinates):
Tb1 0.088 0.350 0.747
Tb2 0.091 0.909 0.750
Tb3 0.152 0.690 0.000
Tb4 0.310 0.848 0.500
Tb5 0.350 0.088 0.247
Tb6 0.650 0.912 0.753
Tb7 0.690 0.152 0.500
Tb8 0.848 0.310 0.000
Tb9 0.909 0.091 0.250
Tb10 0.912 0.650 0.253
Pr1 0.469 0.531 0.250
Pr2 0.531 0.469 0.750
Dy1 0.000 0.500 0.500
Dy2 0.500 0.000 0.000

***

No. 11
Material: Li2NbN
Method: DFT, GGA-PBE
State: relaxed

Results
Raw formation energy ... 1.011 eV per atom

a = 5.445 Å, b = 5.445 Å, c = 7.749 Å
α = 90.00°, β = 90.00°, γ = 90.00°
Atoms (fractional coordinates):
Li1 0.001 0.750 0.125
Li2 0.250 0.001 0.875
Li3 0.250 0.499 0.375
Li4 0.499 0.750 0.625
Li5 0.501 0.250 0.625
Li6 0.750 0.501 0.375
Li7 0.750 0.999 0.875
Li8 0.999 0.250 0.125
Nb1 0.000 0.000 0.500
Nb2 0.000 0.500 0.750
Nb3 0.500 0.000 0.250
Nb4 0.500 0.500 0.000
N1 0.000 0.000 0.000
N2 0.000 0.500 0.250
N3 0.500 0.000 0.750
N4 0.500 0.500 0.500

***

No. 12
Material: Dy3YEr2
Method: DFT, GGA-PBE
State: relaxed

Results
Polymorph energy (0 for the lowest one) ... 0.73 eV/f.u.

a = 11.613 Å, b = 11.613 Å, c = 10.153 Å
α = 108.20°, β = 108.20°, γ = 17.24°
Atoms (fractional coordinates):
Dy1 0.059 0.059 0.440
Dy2 0.196 0.196 0.714
Dy3 0.431 0.431 0.234
Dy4 0.569 0.569 0.766
Dy5 0.804 0.804 0.286
Dy6 0.941 0.941 0.560
Y1 0.186 0.186 0.039
Y2 0.814 0.814 0.961
Er1 0.193 0.193 0.373
Er2 0.430 0.430 0.862
Er3 0.570 0.570 0.138
Er4 0.807 0.807 0.627

***

no.,size of the total moment (μB per atom),electronic total energy (eV per cell)
1,0.000,-103.7
2,0.000,-37.2
3,0.000,-121.3
4,0.000,-22.6
5,0.137,-102.7
6,0.000,-77.6
7,0.000,-65.3
8,0.000,-80.6
9,0.000,-26.4
10,0.000,-62.4
11,0.000,-72.7
12,0.000,-57.3